Entry 1:
Entry from Alexandria via LeMat-Bulk: crystalline PtPb6Au3 at its relaxed geometry (GGA-PBE).

## Properties
Spin magnetization   0.00 μB per cell
ρ   12.5 g cm⁻³
Crystal system   monoclinic
Energy of formation from the pure elements   -0.06 eV/atom

Cell lengths 11.218, 3.845, 13.398 Å; angles 90.00, 111.62, 90.00 degrees
Space group P2_1/m (No. 11)
Inequivalent atoms, fractional coordinates:
Pt: 0.073 0.250 0.221 (multiplicity 2)
Pb: 0.087 0.250 0.932 (multiplicity 2)
Pb: 0.149 0.750 0.397 (multiplicity 2)
Pb: 0.164 0.750 0.734 (multiplicity 2)
Pb: 0.250 0.750 0.177 (multiplicity 2)
Pb: 0.429 0.250 0.596 (multiplicity 2)
Pb: 0.498 0.250 0.128 (multiplicity 2)
Au: 0.105 0.250 0.558 (multiplicity 2)
Au: 0.319 0.750 0.977 (multiplicity 2)
Au: 0.357 0.250 0.361 (multiplicity 2)


Entry 2:
Entry from Alexandria via LeMat-Bulk: crystalline Sr4Ge2Bi5 at its relaxed geometry (GGA-PBE).

## Properties
Spin magnetization   0.00 μB per cell
ρ   7.0 g cm⁻³
Crystal system   monoclinic
Energy of formation from the pure elements   -0.57 eV/atom

Cell lengths 7.934, 4.669, 9.966 Å; angles 90.00, 95.64, 90.00 degrees
Space group P2/m (No. 10)
Inequivalent atoms, fractional coordinates:
Sr: 0.208 0.000 0.363 (multiplicity 2)
Sr: 0.240 0.000 0.920 (multiplicity 2)
Ge: 0.070 0.500 0.122 (multiplicity 2)
Bi: 0.144 0.500 0.649 (multiplicity 2)
Bi: 0.440 0.500 0.169 (multiplicity 2)
Bi: 0.500 0.500 0.500 (multiplicity 1)